Entry from Alexandria via LeMat-Bulk: crystalline YCuAs at its relaxed geometry (PBE-GGA).

Calculated values
For the formation energy, the calculation gives -0.4510 eV per atom. The density of states at the Fermi level comes out at 6.2 states/eV per cell.

a b c (Å): 5.5334 5.5423 8.1277
angles (deg): 90.00 90.00 90.00
Fractional coordinates of all 12 atoms:
Y (0.0000, 0.0000, 0.0000)
Y (0.0000, 0.5000, 0.5000)
Y (0.5000, 0.0000, 0.5000)
Y (0.5000, 0.5000, 0.0000)
Cu (0.0000, 0.0000, 0.6565)
Cu (0.0000, 0.5000, 0.1565)
Cu (0.5000, 0.0000, 0.1565)
Cu (0.5000, 0.5000, 0.6565)
As (0.0000, 0.0000, 0.3560)
As (0.0000, 0.5000, 0.8560)
As (0.5000, 0.0000, 0.8560)
As (0.5000, 0.5000, 0.3560)



Entry from Alexandria via LeMat-Bulk: crystalline Ac8Ir3PdS4 at its relaxed geometry (PBE-GGA).

Calculated values
Its formation energy from raw total energies is -1318 meV per atom. The density of states at the Fermi level comes out at 9.7 states/eV per cell.

a b c (Å): 9.0047 9.0047 9.0047
angles (deg): 56.78 56.78 56.78
Fractional coordinates of all 16 atoms:
Ac (0.2379, 0.7484, 0.7484)
Ac (0.2442, 0.2442, 0.2442)
Ac (0.2516, 0.2516, 0.7621)
Ac (0.2516, 0.7621, 0.2516)
Ac (0.7484, 0.2379, 0.7484)
Ac (0.7484, 0.7484, 0.2379)
Ac (0.7558, 0.7558, 0.7558)
Ac (0.7621, 0.2516, 0.2516)
Ir (0.0000, 0.0000, 0.5000)
Ir (0.0000, 0.5000, 0.0000)
Ir (0.5000, 0.0000, 0.0000)
Pd (0.5000, 0.5000, 0.5000)
S (0.0000, 0.0000, 0.0000)
S (0.0000, 0.5000, 0.5000)
S (0.5000, 0.0000, 0.5000)
S (0.5000, 0.5000, 0.0000)



Entry from Alexandria via LeMat-Bulk: crystalline Cd3Ge at its relaxed geometry (PBE-GGA).

Calculated values
For the formation energy, the calculation gives 0.1640 eV per atom. The density of states at the Fermi level comes out at 5.0 states/eV per cell.

a b c (Å): 7.0782 7.0782 7.0782
angles (deg): 90.00 90.00 90.00
Fractional coordinates of all 16 atoms:
Cd (0.0000, 0.0000, 0.0000)
Cd (0.0000, 0.5000, 0.5000)
Cd (0.2500, 0.2500, 0.2500)
Cd (0.2500, 0.2500, 0.7500)
Cd (0.2500, 0.7500, 0.2500)
Cd (0.2500, 0.7500, 0.7500)
Cd (0.5000, 0.0000, 0.5000)
Cd (0.5000, 0.5000, 0.0000)
Cd (0.7500, 0.2500, 0.2500)
Cd (0.7500, 0.2500, 0.7500)
Cd (0.7500, 0.7500, 0.2500)
Cd (0.7500, 0.7500, 0.7500)
Ge (0.0000, 0.0000, 0.5000)
Ge (0.0000, 0.5000, 0.0000)
Ge (0.5000, 0.0000, 0.0000)
Ge (0.5000, 0.5000, 0.5000)



Entry from Alexandria via LeMat-Bulk: crystalline CaTbCuN2 at its relaxed geometry (PBE-GGA).

Calculated values
Its formation energy from raw total energies is -740 meV per atom.

a b c (Å): 5.1018 5.2963 6.4805
angles (deg): 90.00 90.00 90.00
Fractional coordinates of all 10 atoms:
Ca (0.0000, 0.0000, 0.2500)
Ca (0.0000, 0.0000, 0.7500)
Tb (0.5000, 0.5000, 0.2500)
Tb (0.5000, 0.5000, 0.7500)
Cu (0.5000, 0.0000, 0.0000)
Cu (0.5000, 0.0000, 0.5000)
N (0.2657, 0.2671, 0.0000)
N (0.2657, 0.7329, 0.5000)
N (0.7343, 0.2671, 0.5000)
N (0.7343, 0.7329, 0.0000)



Entry from Alexandria via LeMat-Bulk: crystalline LiAgAu3 at its relaxed geometry (PBE-GGA).

Calculated values
For the formation energy, the calculation gives -0.0618 eV per atom. The density of states at the Fermi level comes out at 3.0 states/eV per cell.

a b c (Å): 4.8284 8.0866 5.1725
angles (deg): 90.00 90.00 90.00
Fractional coordinates of all 10 atoms:
Li (0.2500, 0.2500, 0.2184)
Li (0.7500, 0.7500, 0.7816)
Ag (0.2500, 0.2500, 0.7028)
Ag (0.7500, 0.7500, 0.2972)
Au (0.2500, 0.5814, 0.5168)
Au (0.2500, 0.7500, 0.0128)
Au (0.2500, 0.9186, 0.5168)
Au (0.7500, 0.0814, 0.4832)
Au (0.7500, 0.2500, 0.9872)
Au (0.7500, 0.4186, 0.4832)



Entry from Alexandria via LeMat-Bulk: crystalline Rb3TbDy3Se8 at its relaxed geometry (PBE-GGA).

Calculated values
Its formation energy from raw total energies is -1669 meV per atom. The density of states at the Fermi level comes out at 9.2 states/eV per cell.

a b c (Å): 8.3525 8.3525 9.5001
angles (deg): 116.13 116.13 59.96
Fractional coordinates of all 15 atoms:
Rb (0.0000, 0.0000, 0.0000)
Rb (0.0000, 0.5000, 0.0000)
Rb (0.5000, 0.0000, 0.0000)
Tb (0.0000, 0.0000, 0.5000)
Dy (0.0000, 0.5000, 0.5000)
Dy (0.5000, 0.0000, 0.5000)
Dy (0.5000, 0.5000, 0.5000)
Se (0.2322, 0.2322, 0.6937)
Se (0.2322, 0.7295, 0.6937)
Se (0.2682, 0.2682, 0.3046)
Se (0.2705, 0.7678, 0.3063)
Se (0.7295, 0.2322, 0.6937)
Se (0.7318, 0.7318, 0.6954)
Se (0.7678, 0.2705, 0.3063)
Se (0.7678, 0.7678, 0.3063)



no.,uncorrected energy (eV/cell)
1,-66.25
2,-102.24
3,-26.83
4,-62.15
5,-29.81
6,-74.25